# LiCu6OF11, optimized geometry, DFT GGA-PBE
data_LiCu6OF11
_cell_length_a 4.7385
_cell_length_b 5.5281
_cell_length_c 8.4787
_cell_angle_alpha 90.52
_cell_angle_beta 91.83
_cell_angle_gamma 92.02
_space_group_name_H-M_alt 'P 1'
_space_group_IT_number 1
_space_group_name_Hall 'P 1'
loop_
_atom_site_label
_atom_site_fract_x
_atom_site_fract_y
_atom_site_fract_z
Li1 0.0000 0.0000 0.0000
Cu1 0.2479 0.5878 0.7019
Cu2 0.2664 0.2837 0.3955
Cu3 0.4477 0.8166 0.1264
Cu4 0.7712 0.0910 0.7080
Cu5 0.7997 0.4215 0.0533
Cu6 0.8063 0.7448 0.4153
O1 0.0742 0.5371 0.4933
F1 0.0093 0.7254 0.1280
F2 0.0109 0.0331 0.4812
F3 0.0531 0.8771 0.8004
F4 0.0873 0.2405 0.1591
F5 0.4891 0.2975 0.6277
F6 0.4931 0.5982 0.9510
F7 0.5109 0.9848 0.3236
F8 0.5601 0.8024 0.6330
F9 0.5670 0.5046 0.2985
F10 0.6144 0.0959 0.9992
F11 0.9856 0.3595 0.8149
# * spin magnetization: 4.01 μB per formula unit
# * E_form (uncorrected): -1.488 eV per atom
# * N(E_F): 10.18 states/eV/f.u.
# * space-group type: P1 (1)
# * distance to the lowest polymorph of the same formula: 0.040 eV/atom